No. 1
## CaEuDy (PBE)

Data for CaEuDy after structural relaxation.

DFT formation energy = 0.090 eV per atom
E_tot = -0.407 Ry/atom
Crystal system = trigonal
Density = 5.25 g/cm³
Space group = P3m1, No. 156
Polymorph energy (0 for the lowest one) = 0 meV/atom
Fermi-level density of states = 4.3 states/eV/cell

Lattice parameters (Å, degrees): 3.734 3.734 9.286 90.00 90.00 120.00
Fractional coordinates of all 3 atoms:
Ca 0.000 0.000 0.000
Eu 0.667 0.333 0.353
Dy 0.333 0.667 0.673

No. 2
## CaEu2Dy (PBE)

Data for CaEu2Dy after structural relaxation.

DFT formation energy = 0.075 eV per atom
E_tot = -0.493 Ry/atom
Crystal system = tetragonal
Density = 5.40 g/cm³
Space group = P4/mmm, No. 123
Polymorph energy (0 for the lowest one) = 9 meV/atom
Fermi-level density of states = 4.4 states/eV/cell

Lattice parameters (Å, degrees): 3.773 3.773 10.946 90.00 90.00 90.00
Fractional coordinates of all 4 atoms:
Ca 0.000 0.000 0.000
Eu 0.500 0.500 0.266
Eu 0.500 0.500 0.734
Dy 0.000 0.000 0.500

No. 3
## CaEuDy (PBE)

Data for CaEuDy after structural relaxation.

DFT formation energy = 0.099 eV per atom
E_tot = -0.406 Ry/atom
Crystal system = tetragonal
Density = 5.20 g/cm³
Space group = I4mm, No. 107
Polymorph energy (0 for the lowest one) = 9 meV/atom
Fermi-level density of states = 8.1 states/eV/cell

Lattice parameters (Å, degrees): 3.738 3.738 16.208 90.00 90.00 90.00
Fractional coordinates of all 6 atoms:
Ca 0.000 0.000 0.000
Ca 0.500 0.500 0.500
Eu 0.000 0.000 0.319
Eu 0.500 0.500 0.819
Dy 0.000 0.000 0.663
Dy 0.500 0.500 0.163

No. 4
## CaEu2Dy (PBE)

Data for CaEu2Dy after structural relaxation.

DFT formation energy = 0.066 eV per atom
E_tot = -0.494 Ry/atom
Crystal system = trigonal
Density = 5.46 g/cm³
Space group = R-3m, No. 166
Polymorph energy (0 for the lowest one) = 0 meV/atom
Fermi-level density of states = 13.1 states/eV/cell

Lattice parameters (Å, degrees): 3.767 3.767 37.605 90.00 90.00 120.00
Fractional coordinates of all 12 atoms:
Ca 0.000 0.000 0.000
Ca 0.333 0.667 0.667
Ca 0.667 0.333 0.333
Eu 0.000 0.000 0.247
Eu 0.000 0.000 0.753
Eu 0.333 0.667 0.420
Eu 0.333 0.667 0.913
Eu 0.667 0.333 0.087
Eu 0.667 0.333 0.580
Dy 0.000 0.000 0.500
Dy 0.333 0.667 0.167
Dy 0.667 0.333 0.833